{"formula": "Cu2IrPt", "functional": "PBE", "state": "relaxed", "lattice_angstrom": [[2.663, 0.000, 0.000], [0.000, 4.435, 0.000], [-0.094, 0.000, 4.739]], "species": ["Cu", "Cu", "Ir", "Pt"], "fractional_positions": [[0.233, 0.000, 0.243], [0.767, 0.000, 0.757], [0.500, 0.500, 0.000], [0.000, 0.500, 0.500]], "delta_e_f_ev_per_atom": 0.065, "m_tot_mub_per_fu": 0.19, "e_tot_ev_per_atom": -5.71, "rho_g_cm3": 15.26, "polymorph_energy_kj_per_mol_atoms": 10.33}

=====

{"formula": "La6Tl12In", "functional": "PBE", "state": "relaxed", "lattice_angstrom": [[7.259, 4.191, 3.252], [-7.259, 4.191, 3.252], [0.000, -8.382, 3.252]], "species": ["La", "La", "La", "La", "La", "La", "Tl", "Tl", "Tl", "Tl", "Tl", "Tl", "Tl", "Tl", "Tl", "Tl", "Tl", "Tl", "In"], "fractional_positions": [[0.060, 0.306, 0.421], [0.306, 0.421, 0.060], [0.421, 0.060, 0.306], [0.579, 0.940, 0.694], [0.694, 0.579, 0.940], [0.940, 0.694, 0.579], [0.021, 0.908, 0.312], [0.092, 0.688, 0.979], [0.200, 0.664, 0.354], [0.312, 0.021, 0.908], [0.336, 0.646, 0.800], [0.354, 0.200, 0.664], [0.646, 0.800, 0.336], [0.664, 0.354, 0.200], [0.688, 0.979, 0.092], [0.800, 0.336, 0.646], [0.908, 0.312, 0.021], [0.979, 0.092, 0.688], [0.500, 0.500, 0.500]], "delta_e_f_ev_per_atom": -0.265, "m_tot_mub_per_fu": 0.00, "e_tot_ev_per_atom": -3.46, "rho_g_cm3": 9.51}

=====

{"formula": "AcPm6Sm3Dy2", "functional": "PBE", "state": "relaxed", "lattice_angstrom": [[3.165, -5.478, 0.000], [3.165, 5.478, 0.000], [-2.116, 0.000, 11.955]], "species": ["Ac", "Pm", "Pm", "Pm", "Pm", "Pm", "Pm", "Sm", "Sm", "Sm", "Dy", "Dy"], "fractional_positions": [[0.000, 0.000, 0.000], [0.084, 0.421, 0.252], [0.252, 0.252, 0.748], [0.421, 0.084, 0.252], [0.579, 0.916, 0.748], [0.748, 0.748, 0.252], [0.916, 0.579, 0.748], [0.167, 0.833, 0.500], [0.500, 0.500, 0.500], [0.833, 0.167, 0.500], [0.333, 0.667, 0.000], [0.667, 0.333, 0.000]], "delta_e_f_ev_per_atom": 0.024, "m_tot_mub_per_fu": 0.00, "e_tot_ev_per_atom": -4.64, "rho_g_cm3": 7.50}

=====

{"formula": "LaAl4Zn2Rh", "functional": "PBE", "state": "relaxed", "lattice_angstrom": [[2.161, 1.248, 9.158], [-2.161, 1.248, 9.158], [0.000, -2.496, 9.158]], "species": ["La", "Al", "Al", "Al", "Al", "Zn", "Zn", "Rh"], "fractional_positions": [[0.000, 0.000, 0.000], [0.136, 0.136, 0.136], [0.408, 0.408, 0.408], [0.592, 0.592, 0.592], [0.864, 0.864, 0.864], [0.247, 0.247, 0.247], [0.753, 0.753, 0.753], [0.500, 0.500, 0.500]], "delta_e_f_ev_per_atom": -0.417, "m_tot_mub_per_fu": 0.00, "e_tot_ev_per_atom": -4.14, "rho_g_cm3": 5.38}

=====

{"formula": "SiBIr2Cl", "functional": "PBE", "state": "relaxed", "lattice_angstrom": [[4.613, 0.000, 0.000], [0.000, 4.613, 0.000], [0.000, 0.000, 3.805]], "species": ["Si", "B", "Ir", "Ir", "Cl"], "fractional_positions": [[0.000, 0.000, 0.000], [0.000, 0.000, 0.500], [0.000, 0.500, 0.000], [0.500, 0.000, 0.000], [0.500, 0.500, 0.500]], "raw_formation_energy_kj_per_mol_atoms": 122.96, "m_tot_mub_per_fu": 0.00, "e_tot_ev_per_atom": -5.06, "rho_g_cm3": 9.41}

=====

{"formula": "ReNiMo2", "functional": "PBE", "state": "relaxed", "lattice_angstrom": [[3.869, 0.000, 0.000], [0.000, 3.869, 0.000], [0.000, 0.000, 3.845]], "species": ["Re", "Ni", "Mo", "Mo"], "fractional_positions": [[0.000, 0.000, 0.000], [0.500, 0.500, 0.000], [0.000, 0.500, 0.500], [0.500, 0.000, 0.500]], "delta_e_f_ev_per_atom": 0.026, "m_tot_mub_per_fu": 0.00, "e_tot_ev_per_atom": -9.95, "rho_g_cm3": 12.60, "polymorph_energy_kj_per_mol_atoms": 0.00}

=====

{"formula": "CaRuS2Cl", "functional": "PBE", "state": "relaxed", "lattice_angstrom": [[4.691, 0.000, 0.000], [0.000, 4.691, 0.000], [0.000, 0.000, 4.873]], "species": ["Ca", "Ru", "S", "S", "Cl"], "fractional_positions": [[0.000, 0.000, 0.000], [0.500, 0.500, 0.500], [0.000, 0.500, 0.500], [0.500, 0.000, 0.500], [0.500, 0.500, 0.000]], "raw_formation_energy_kj_per_mol_atoms": -63.17, "m_tot_mub_per_fu": 1.75, "e_tot_ev_per_atom": -4.93, "rho_g_cm3": 3.73, "polymorph_energy_kj_per_mol_atoms": 0.00}

=====

{"formula": "CsGaSn3", "functional": "PBE", "state": "relaxed", "lattice_angstrom": [[0.000, 3.759, 5.652], [3.753, 0.000, 5.652], [3.753, 3.759, 0.000]], "species": ["Cs", "Ga", "Sn", "Sn", "Sn"], "fractional_positions": [[0.000, 0.000, 0.000], [0.364, 0.364, 0.636], [0.254, 0.254, 0.246], [0.616, 0.616, 0.384], [0.754, 0.754, 0.746]], "delta_e_f_ev_per_atom": -0.135, "m_tot_mub_per_fu": 0.00, "e_tot_ev_per_atom": -3.31, "rho_g_cm3": 5.82, "polymorph_energy_kj_per_mol_atoms": 0.00}